1.
A plane-wave DFT calculation with PBE was carried out for ReAu2 after structural relaxation.

Unit cell a=7.5001 b=7.5001 c=7.5001 alpha=90.00 beta=90.00 gamma=90.00
Closest atoms and distances in Å follow each position.
Space group Fd-3m (No. 227, origin choice 2)
Inequivalent atoms, fractional coordinates:
Re: 0.1250 0.1250 0.1250  12 Au 3.11, 4 Re 3.25
Au: 0.0000 0.0000 0.5000  6 Au 2.65

## Properties
The calculation puts the energy above the most stable polymorph in this dataset at 769 meV per atom. Its uncorrected energy is -5.236 eV per atom. For the energy relative to the elements, the calculation gives 1.10 eV per atom.

---

2.
A plane-wave DFT calculation with PBE was carried out for ReAu5 after structural relaxation.

Unit cell a=5.3702 b=5.3702 c=4.8467 alpha=90.00 beta=90.00 gamma=120.00
Closest atoms and distances in Å follow each position.
Space group P6/mmm (No. 191)
Inequivalent atoms, fractional coordinates:
Re: 0.0000 0.0000 0.0000  6 Au 3.10
Au: 0.0000 0.5000 0.5000  8 Au 2.69-2.88
Au: 0.3333 0.6667 0.0000  9 Au 2.88-3.10, 3 Re 3.10

## Properties
The calculation puts the energy above the most stable polymorph in this dataset at 498 meV per atom. Its uncorrected energy is -3.978 eV per atom. For the energy relative to the elements, the calculation gives 0.83 eV per atom.

---

3.
A plane-wave DFT calculation with PBE was carried out for ReAu2 after structural relaxation.

Unit cell a=8.0462 b=8.0462 c=2.7445 alpha=90.00 beta=90.00 gamma=120.00
Closest atoms and distances in Å follow each position.
Space group P-62m (No. 189)
Inequivalent atoms, fractional coordinates:
Re: 0.0000 0.0000 0.0000  2 Re 2.74, 9 Au 2.76-3.00
Re: 0.3333 0.6667 0.5000  2 Re 2.74, 9 Au 2.84-2.88
Au: 0.0000 0.2974 0.5000  4 Au 2.74-2.98, 4 Re 2.76-2.84
Au: 0.0000 0.6266 0.0000  4 Au 2.74-2.98, 5 Re 2.88-3.00

## Properties
The calculation puts the energy above the most stable polymorph in this dataset at 390 meV per atom. Its uncorrected energy is -5.616 eV per atom. For the energy relative to the elements, the calculation gives 0.72 eV per atom.

---

4.
A plane-wave DFT calculation with PBE was carried out for ReAu2 after structural relaxation.

Unit cell a=4.3426 b=12.5685 c=3.7998 alpha=90.00 beta=90.00 gamma=90.00
Closest atoms and distances in Å follow each position.
Space group Cmcm (No. 63)
Inequivalent atoms, fractional coordinates:
Re: 0.0000 0.0617 0.2500  2 Re 2.45
Au: 0.0000 0.2474 0.7500  8 Au 2.83-2.98, 2 Re 3.01
Au: 0.0000 0.4144 0.2500  6 Au 2.83-2.98, 6 Re 2.85-2.90

## Properties
The calculation puts the energy above the most stable polymorph in this dataset at 96 meV per atom. Its uncorrected energy is -5.909 eV per atom. For the energy relative to the elements, the calculation gives 0.42 eV per atom.

---

5.
A plane-wave DFT calculation with PBE was carried out for ReAu2 after structural relaxation.

Unit cell a=2.7773 b=2.7773 c=13.0434 alpha=90.00 beta=90.00 gamma=90.00
Closest atoms and distances in Å follow each position.
Space group I4/mmm (No. 139)
Inequivalent atoms, fractional coordinates:
Re: 0.0000 0.0000 0.0000  4 Re 2.78, 8 Au 2.87
Au: 0.0000 0.0000 0.3397  8 Au 2.78-3.06, 4 Re 2.87

## Properties
The calculation puts the energy above the most stable polymorph in this dataset at 139 meV per atom. Its uncorrected energy is -5.866 eV per atom. For the energy relative to the elements, the calculation gives 0.47 eV per atom.

---

6.
A plane-wave DFT calculation with PBE was carried out for ReAu5 after structural relaxation.

Unit cell a=4.8069 b=2.8138 c=15.4455 alpha=90.00 beta=90.00 gamma=90.00
Closest atoms and distances in Å follow each position.
Space group Amm2 (No. 38)
Inequivalent atoms, fractional coordinates:
Re: 0.0000 0.0000 0.0000  2 Re 2.81, 10 Au 2.85-2.93
Au: 0.0000 0.0000 0.3367  10 Au 2.81-3.06, 2 Re 2.89
Au: 0.0000 0.0000 0.6607  10 Au 2.81-3.06, 2 Re 2.85
Au: 0.5000 0.0000 0.2256  12 Au 2.81-3.02
Au: 0.5000 0.0000 0.5524  8 Au 2.81-3.02, 4 Re 2.90
Au: 0.5000 0.0000 0.8918  10 Au 2.81-2.93, 2 Re 2.93

## Properties
The calculation puts the energy above the most stable polymorph in this dataset at 5 meV per atom. Its uncorrected energy is -4.472 eV per atom. For the energy relative to the elements, the calculation gives 0.33 eV per atom.

---

7.
A plane-wave DFT calculation with PBE was carried out for ReAu2 after structural relaxation.

Unit cell a=10.8604 b=2.8038 c=6.9779 alpha=90.00 beta=105.26 gamma=90.00
Closest atoms and distances in Å follow each position.
Space group Cm (No. 8)
Inequivalent atoms, fractional coordinates:
Re: 0.0000 0.0000 0.0000  4 Re 2.57-2.80, 4 Au 2.80-2.88
Re: 0.1396 0.5000 0.2837  4 Re 2.57-2.80, 2 Au 2.85
Au: 0.0877 0.5000 0.7143  2 Re 2.80, 9 Au 2.80-3.00
Au: 0.2774 0.0000 0.0427  7 Au 2.80-3.00, 5 Re 2.88-2.95
Au: 0.3058 0.0000 0.6382  8 Au 2.80-2.97, 2 Re 3.00
Au: 0.4343 0.5000 0.3780  8 Au 2.80-2.92, 4 Re 2.85-3.09

## Properties
The calculation puts the energy above the most stable polymorph in this dataset at 113 meV per atom. Its uncorrected energy is -5.892 eV per atom. For the energy relative to the elements, the calculation gives 0.44 eV per atom.

---

8.
A plane-wave DFT calculation with PBE was carried out for Re3Au5 after structural relaxation.

Unit cell a=5.2153 b=10.6663 c=10.1296 alpha=90.00 beta=98.72 gamma=90.00
Closest atoms and distances in Å follow each position.
Space group C2/m (No. 12)
Inequivalent atoms, fractional coordinates:
Re: 0.0000 0.1933 0.0000  2 Re 2.51, 2 Au 2.81
Re: 0.0000 0.2370 0.5000  2 Re 2.62, 6 Au 2.76-2.88
Re: 0.2261 0.5000 0.9566  3 Re 2.51-2.64
Au: 0.1957 0.3692 0.1966  5 Au 2.73-2.90, 4 Re 2.81-2.86
Au: 0.2248 0.1292 0.2913  5 Au 2.73-2.94, 3 Re 2.76-2.91
Au: 0.2367 0.5000 0.4500  6 Au 2.78-2.94, 2 Re 2.88

## Properties
The calculation puts the energy above the most stable polymorph in this dataset at 0 meV per atom. Its uncorrected energy is -6.175 eV per atom. For the energy relative to the elements, the calculation gives 0.54 eV per atom.